This record from Alexandria via LeMat-Bulk describes crystalline OsNF3 at its relaxed geometry. The functional is PBE-GGA.

abc: 4.0134 4.0134 4.0134
angles: 90.00 90.00 90.00
Space group Pm-3m (No. 221)
Inequivalent atoms, fractional coordinates:
Os 0.0000 0.0000 0.0000
N 0.5000 0.5000 0.5000
F 0.0000 0.0000 0.5000

Output
ρ ... 6.71 g cm⁻³
Magnetic moment ... 0.00 μB/f.u.
E_tot ... -0.160 Ha/atom